# 1
Below is a geometry-optimized Na2Ac3MgSe6 structure, with properties calculated at the PBE level.

Cell and atoms, written as extended XYZ:
```
12
Lattice="-0.588 7.058 2.793 -3.080 -1.673 -6.758 -4.684 -3.515 4.436" Properties=species:S:1:pos:R:3 pbc="T T T"
Na -2.245 1.253 -3.557
Na -1.423 4.131 -0.408
Ac -4.996 -1.936 -2.905
Ac -3.356 3.806 3.376
Ac -4.176 0.935 0.235
Mg 0.000 0.000 0.000
Se -6.016 2.797 1.896
Se -3.915 3.265 -1.963
Se -2.336 -0.927 -1.425
Se -6.806 0.029 -1.133
Se -4.437 -1.395 2.433
Se -1.546 1.841 1.603
```

Properties
- Magnetization: 0.00 μB/f.u.
- Formation energy from raw total energies: -1.61 eV/atom

---

# 2
Below is a geometry-optimized NaAcMgSi structure, with properties calculated at the PBE level.

Cell and atoms, written as extended XYZ:
```
4
Lattice="5.290 0.000 0.000 2.645 4.582 0.000 2.645 1.527 4.320" Properties=species:S:1:pos:R:3 pbc="T T T"
Mg 5.290 3.054 2.160
Na 2.645 1.527 1.080
Ac 0.000 0.000 0.000
Si 7.935 4.582 3.240
```

Properties
- Magnetization: 0.00 μB/f.u.
- Formation energy from raw total energies: 0.01 eV/atom

---

# 3
Below is a geometry-optimized NaAcMgSn structure, with properties calculated at the PBE level.

Cell and atoms, written as extended XYZ:
```
4
Lattice="5.603 0.000 0.000 2.801 4.852 0.000 2.801 1.617 4.575" Properties=species:S:1:pos:R:3 pbc="T T T"
Mg 8.404 4.852 3.431
Na 5.603 3.235 2.287
Ac 0.000 0.000 0.000
Sn 2.801 1.617 1.144
```

Properties
- Total DFT energy (no corrections): -12.0 eV per cell
- Magnetization: 0.00 μB/f.u.

---

# 4
Below is a geometry-optimized NaAc2Mg3Sn4 structure, with properties calculated at the PBE level.

Cell and atoms, written as extended XYZ:
```
10
Lattice="-0.598 -3.463 3.408 2.392 -3.199 -2.831 10.395 3.242 5.120" Properties=species:S:1:pos:R:3 pbc="T T T"
Na 6.094 -1.710 2.848
Ac 2.120 -0.977 2.896
Ac 9.171 0.888 2.513
Mg 5.197 1.621 2.560
Mg 8.784 1.101 6.178
Mg 2.508 -1.190 -0.769
Sn 0.897 -3.331 0.289
Sn 0.000 0.000 0.000
Sn 6.437 0.369 5.022
Sn 4.855 -0.458 0.387
```

Properties
- Total DFT energy (no corrections): -34.5 eV per cell
- Magnetization: 0.00 μB/f.u.

---

# 5
Below is a geometry-optimized NaAcMg2Tl4 structure, with properties calculated at the PBE level.

Cell and atoms, written as extended XYZ:
```
8
Lattice="-3.778 2.154 -2.999 -1.373 -2.282 -4.563 -8.116 -5.079 1.923" Properties=species:S:1:pos:R:3 pbc="T T T"
Na -6.634 -2.603 -2.820
Ac 0.000 0.000 0.000
Mg -9.918 -3.880 -4.252
Mg -3.349 -1.327 -1.388
Tl -8.793 -4.303 -1.320
Tl -7.617 -2.069 -5.850
Tl -5.650 -3.138 0.210
Tl -4.474 -0.904 -4.319
```

Properties
- Total DFT energy (no corrections): -19.6 eV per cell
- Magnetization: 0.00 μB/f.u.

---

# 6
Below is a geometry-optimized Na2Ac3Mg2Tl4 structure, with properties calculated at the PBE level.

Cell and atoms, written as extended XYZ:
```
11
Lattice="-2.791 0.521 4.243 4.513 -2.378 0.190 7.433 14.354 3.126" Properties=species:S:1:pos:R:3 pbc="T T T"
Na 2.919 5.880 4.269
Na 6.236 6.617 3.289
Ac 5.537 10.693 2.329
Ac 0.000 0.000 0.000
Ac 1.896 3.661 0.797
Mg 6.068 11.961 5.593
Mg 3.087 0.536 1.965
Tl 0.523 1.253 3.261
Tl 8.632 11.244 4.297
Tl 4.443 8.822 4.910
Tl 4.713 3.675 2.648
```

Properties
- Total DFT energy (no corrections): -29.5 eV per cell
- Magnetization: 0.00 μB/f.u.

---

# 7
Below is a geometry-optimized NaAc2MgTl4 structure, with properties calculated at the PBE level.

Cell and atoms, written as extended XYZ:
```
8
Lattice="-5.044 1.514 1.914 -2.970 -3.536 3.174 1.190 2.772 9.148" Properties=species:S:1:pos:R:3 pbc="T T T"
Na 0.000 0.000 0.000
Ac -5.130 0.552 10.654
Ac -1.694 0.198 3.582
Mg -3.412 0.375 7.118
Tl -1.974 1.658 9.893
Tl -6.575 -0.737 7.866
Tl -0.249 1.488 6.370
Tl -4.850 -0.908 4.343
```

Properties
- Total DFT energy (no corrections): -22.8 eV per cell
- Magnetization: 0.00 μB/f.u.

---

# 8
Below is a geometry-optimized NaAcMgZn structure, with properties calculated at the PBE level.

Cell and atoms, written as extended XYZ:
```
4
Lattice="5.353 0.000 0.000 2.677 4.636 0.000 2.677 1.545 4.371" Properties=species:S:1:pos:R:3 pbc="T T T"
Mg 0.000 0.000 0.000
Na 8.030 4.636 3.278
Ac 5.353 3.091 2.185
Zn 2.677 1.545 1.093
```

Properties
- Total DFT energy (no corrections): -8.3 eV per cell
- Magnetization: 0.00 μB/f.u.

---

# 9
Below is a geometry-optimized Ac2MgNb structure, with properties calculated at the PBE level.

Cell and atoms, written as extended XYZ:
```
4
Lattice="3.456 0.000 0.000 1.728 2.993 0.000 1.728 0.998 12.326" Properties=species:S:1:pos:R:3 pbc="T T T"
Mg 3.456 1.995 6.163
Ac 1.728 0.998 9.280
Ac 5.184 2.993 3.046
Nb 0.000 0.000 0.000
```

Properties
- Total DFT energy (no corrections): -16.7 eV per cell
- Magnetization: 0.00 μB/f.u.

---

# 10
Below is a geometry-optimized Ac12Nd3Mg structure, with properties calculated at the PBE level.

Cell and atoms, written as extended XYZ:
```
16
Lattice="5.503 0.000 0.000 0.000 5.503 0.000 0.000 0.000 22.113" Properties=species:S:1:pos:R:3 pbc="T T T"
Ac 2.751 2.751 0.000
Ac 2.751 2.751 5.489
Ac 2.751 2.751 11.056
Ac 2.751 2.751 16.624
Ac 2.751 0.000 2.724
Ac 2.751 0.000 8.270
Ac 2.751 0.000 13.843
Ac 2.751 0.000 19.389
Ac 0.000 2.751 2.724
Ac 0.000 2.751 8.270
Ac 0.000 2.751 13.843
Ac 0.000 2.751 19.389
Nd 0.000 0.000 5.477
Nd 0.000 0.000 11.056
Nd 0.000 0.000 16.636
Mg 0.000 0.000 0.000
```

Properties
- Total DFT energy (no corrections): -64.9 eV per cell
- Magnetization: 0.00 μB/f.u.

---

# 11
Below is a geometry-optimized AcNd2Mg structure, with properties calculated at the PBE level.

Cell and atoms, written as extended XYZ:
```
4
Lattice="-4.885 0.536 3.102 -5.137 -1.191 -2.441 -2.953 -4.738 1.611" Properties=species:S:1:pos:R:3 pbc="T T T"
Ac 0.000 0.000 0.000
Nd -3.244 -1.348 0.568
Nd -9.731 -4.045 1.705
Mg -6.488 -2.697 1.136
```

Properties
- Magnetization: 0.00 μB/f.u.
- Energy relative to the lowest polymorph listed for this composition: 127 meV/atom

---

# 12
Below is a geometry-optimized AcNdMg2 structure, with properties calculated at the PBE level.

Cell and atoms, written as extended XYZ:
```
4
Lattice="3.734 0.000 0.000 1.867 3.234 0.000 1.867 1.078 11.121" Properties=species:S:1:pos:R:3 pbc="T T T"
Ac 0.000 0.000 0.000
Nd 3.734 2.156 5.560
Mg 5.602 3.234 8.231
Mg 1.867 1.078 2.889
```

Properties
- Total DFT energy (no corrections): -11.7 eV per cell
- Magnetization: 0.00 μB/f.u.

---

# 13
Below is a geometry-optimized AcNd3Mg4 structure, with properties calculated at the PBE level.

Cell and atoms, written as extended XYZ:
```
16
Lattice="-0.970 0.892 -5.416 2.110 -7.460 -1.606 -10.564 -3.279 1.351" Properties=species:S:1:pos:R:3 pbc="T T T"
Ac 1.055 -3.730 -0.803
Ac -4.227 -5.370 -0.127
Nd 0.000 0.000 0.000
Nd -5.282 -1.640 0.676
Nd -8.409 -2.013 -1.700
Nd -3.125 -0.375 -2.365
Nd -7.353 -5.743 -2.503
Nd -2.070 -4.105 -3.168
Mg 1.122 -5.234 -3.931
Mg -4.160 -6.874 -3.255
Mg 0.019 -1.334 -3.091
Mg -5.263 -2.974 -2.416
Mg -6.317 -8.139 -0.216
Mg -2.002 -5.610 -6.295
Mg -3.106 -1.709 -5.455
Mg -7.421 -4.238 0.624
```

Properties
- Total DFT energy (no corrections): -51.1 eV per cell
- Magnetization: 0.00 μB/f.u.

---

# 14
Below is a geometry-optimized AcNd7Mg4 structure, with properties calculated at the PBE level.

Cell and atoms, written as extended XYZ:
```
12
Lattice="6.044 0.000 0.000 3.022 9.649 -0.008 3.022 0.247 6.952" Properties=species:S:1:pos:R:3 pbc="T T T"
Ac 0.000 0.000 0.000
Nd 9.066 8.598 3.897
Nd 3.022 1.297 3.047
Nd 3.022 6.060 1.822
Nd 9.066 3.835 5.122
Nd 6.044 6.095 5.147
Nd 3.022 0.000 0.000
Nd 6.044 3.801 1.798
Mg 6.044 2.267 4.514
Mg 6.044 7.628 2.430
Mg 9.066 6.673 6.684
Mg 3.022 3.223 0.260
```

Properties
- Total DFT energy (no corrections): -41.6 eV per cell
- Magnetization: 0.28 μB/f.u.

---

# 15
Below is a geometry-optimized Ac4NdMg structure, with properties calculated at the PBE level.

Cell and atoms, written as extended XYZ:
```
6
Lattice="3.980 0.000 0.000 0.000 3.980 0.000 0.000 0.000 15.154" Properties=species:S:1:pos:R:3 pbc="T T T"
Ac 1.990 1.990 2.587
Ac 0.000 0.000 9.769
Ac 0.000 0.000 5.385
Ac 1.990 1.990 12.567
Nd 0.000 0.000 0.000
Mg 1.990 1.990 7.577
```

Properties
- Magnetization: 0.00 μB/f.u.
- Energy relative to the lowest polymorph listed for this composition: 0 meV/atom

---

# 16
Below is a geometry-optimized AcNd3Mg2 structure, with properties calculated at the PBE level.

Cell and atoms, written as extended XYZ:
```
6
Lattice="3.885 0.000 0.000 0.000 3.885 0.000 0.000 0.000 13.079" Properties=species:S:1:pos:R:3 pbc="T T T"
Ac 1.942 1.942 6.539
Nd 0.000 0.000 0.000
Nd 0.000 0.000 9.205
Nd 0.000 0.000 3.874
Mg 1.942 1.942 11.145
Mg 1.942 1.942 1.934
```

Properties
- Total DFT energy (no corrections): -22.0 eV per cell
- Magnetization: 0.00 μB/f.u.

---

# 17
Below is a geometry-optimized AcNd2Mg structure, with properties calculated at the PBE level.

Cell and atoms, written as extended XYZ:
```
4
Lattice="-2.165 0.013 3.223 -0.924 -3.723 -0.605 7.272 -2.600 4.896" Properties=species:S:1:pos:R:3 pbc="T T T"
Ac 2.092 -3.155 3.757
Nd 5.721 -2.046 3.851
Nd 1.552 -0.555 1.044
Mg -1.545 -1.855 1.309
```

Properties
- Magnetization: 0.00 μB/f.u.
- Energy relative to the lowest polymorph listed for this composition: 0 meV/atom

---

# 18
Below is a geometry-optimized Ac3NdMg4 structure, with properties calculated at the PBE level.

Cell and atoms, written as extended XYZ:
```
8
Lattice="-2.861 0.916 2.736 -2.865 -1.359 -2.541 1.366 -14.864 6.408" Properties=species:S:1:pos:R:3 pbc="T T T"
Ac -2.533 -3.815 1.646
Ac -2.180 -7.653 3.301
Ac -1.827 -11.492 4.956
Nd -2.863 -0.221 0.097
Mg 1.216 -13.228 5.702
Mg 0.150 -1.637 0.706
Mg 0.508 -5.526 2.382
Mg 0.858 -9.339 4.026
```

Properties
- Total DFT energy (no corrections): -24.1 eV per cell
- Magnetization: 0.00 μB/f.u.

---

# 19
Below is a geometry-optimized AcNd2Mg structure, with properties calculated at the PBE level.

Cell and atoms, written as extended XYZ:
```
4
Lattice="3.755 0.000 0.000 1.877 3.252 0.000 1.877 1.084 11.649" Properties=species:S:1:pos:R:3 pbc="T T T"
Ac 3.755 2.168 5.828
Nd 1.877 1.084 9.006
Nd 1.877 1.084 2.637
Mg 3.755 2.168 0.003
```

Properties
- Magnetization: 0.00 μB/f.u.
- Energy relative to the lowest polymorph listed for this composition: 103 meV/atom

---

# 20
Below is a geometry-optimized AcNdMg2 structure, with properties calculated at the PBE level.

Cell and atoms, written as extended XYZ:
```
4
Lattice="5.661 0.000 0.000 2.830 4.904 -0.002 2.830 1.639 4.623" Properties=species:S:1:pos:R:3 pbc="T T T"
Ac 2.830 1.636 1.155
Nd 8.491 4.907 3.466
Mg 2.830 1.638 4.622
Mg 5.662 3.272 2.312
```

Properties
- Total DFT energy (no corrections): -12.4 eV per cell
- Magnetization: 0.00 μB/f.u.